# 1
Crystalline Tm8Sn2Au at its relaxed geometry, computed with PBE.

```
data_Tm8Sn2Au
_chemical_formula_sum 'Tm8 Sn2 Au1'
_space_group_name_H-M_alt 'P 1'
_space_group_IT_number 1
_cell_length_a 9.869
_cell_length_b 9.869
_cell_length_c 6.640
_cell_angle_alpha 103.40
_cell_angle_beta 103.40
_cell_angle_gamma 29.04
loop_
_space_group_symop_operation_xyz
'x,y,z'
loop_
_atom_site_label
_atom_site_type_symbol
_atom_site_fract_x
_atom_site_fract_y
_atom_site_fract_z
_atom_site_occupancy
Tm1 Tm 0.020 0.020 0.276 1
Tm2 Tm 0.218 0.218 0.824 1
Tm3 Tm 0.349 0.349 0.495 1
Tm4 Tm 0.407 0.407 0.029 1
Tm5 Tm 0.593 0.593 0.971 1
Tm6 Tm 0.651 0.651 0.505 1
Tm7 Tm 0.782 0.782 0.176 1
Tm8 Tm 0.980 0.980 0.724 1
Sn1 Sn 0.182 0.182 0.262 1
Sn2 Sn 0.818 0.818 0.738 1
Au1 Au 0.500 0.500 0.500 1
```

Output
The size of the total moment is 0.0 Bohr magnetons per cell. The calculation puts the formation energy at -0.405 eV/atom.

# 2
Crystalline TmSnAu2 at its relaxed geometry, computed with PBE.

```
data_TmSnAu2
_chemical_formula_sum 'Tm1 Sn1 Au2'
_space_group_name_H-M_alt 'P 1'
_space_group_IT_number 1
_cell_length_a 4.580
_cell_length_b 4.580
_cell_length_c 4.110
_cell_angle_alpha 90.00
_cell_angle_beta 90.00
_cell_angle_gamma 90.00
loop_
_space_group_symop_operation_xyz
'x,y,z'
loop_
_atom_site_label
_atom_site_type_symbol
_atom_site_fract_x
_atom_site_fract_y
_atom_site_fract_z
_atom_site_occupancy
Tm1 Tm 0.000 0.000 0.000 1
Sn1 Sn 0.500 0.500 0.000 1
Au1 Au 0.000 0.500 0.500 1
Au2 Au 0.500 0.000 0.500 1
```

Output
The size of the total moment is 0.0 Bohr magnetons per cell. The calculation puts the formation energy at -0.588 eV/atom.

# 3
Crystalline Tm3SnAu at its relaxed geometry, computed with PBE.

```
data_Tm3SnAu
_chemical_formula_sum 'Tm6 Sn2 Au2'
_space_group_name_H-M_alt 'P 1'
_space_group_IT_number 1
_cell_length_a 4.579
_cell_length_b 6.756
_cell_length_c 8.843
_cell_angle_alpha 90.00
_cell_angle_beta 90.00
_cell_angle_gamma 90.00
loop_
_space_group_symop_operation_xyz
'x,y,z'
loop_
_atom_site_label
_atom_site_type_symbol
_atom_site_fract_x
_atom_site_fract_y
_atom_site_fract_z
_atom_site_occupancy
Tm1 Tm 0.250 0.004 0.176 1
Tm2 Tm 0.250 0.250 0.572 1
Tm3 Tm 0.250 0.496 0.176 1
Tm4 Tm 0.750 0.504 0.824 1
Tm5 Tm 0.750 0.750 0.428 1
Tm6 Tm 0.750 0.996 0.824 1
Sn1 Sn 0.250 0.750 0.645 1
Sn2 Sn 0.750 0.250 0.355 1
Au1 Au 0.250 0.250 0.906 1
Au2 Au 0.750 0.750 0.094 1
```

Output
The size of the total moment is 0.0 Bohr magnetons per cell. The calculation puts the formation energy at -0.593 eV/atom.

# 4
Crystalline Tm4Sn2Au at its relaxed geometry, computed with PBE.

```
data_Tm4Sn2Au
_chemical_formula_sum 'Tm8 Sn4 Au2'
_space_group_name_H-M_alt 'P 1'
_space_group_IT_number 1
_cell_length_a 11.253
_cell_length_b 4.578
_cell_length_c 8.600
_cell_angle_alpha 90.00
_cell_angle_beta 121.28
_cell_angle_gamma 90.00
loop_
_space_group_symop_operation_xyz
'x,y,z'
loop_
_atom_site_label
_atom_site_type_symbol
_atom_site_fract_x
_atom_site_fract_y
_atom_site_fract_z
_atom_site_occupancy
Tm1 Tm 0.079 0.000 0.371 1
Tm2 Tm 0.177 0.500 0.070 1
Tm3 Tm 0.323 0.000 0.930 1
Tm4 Tm 0.421 0.500 0.629 1
Tm5 Tm 0.579 0.500 0.371 1
Tm6 Tm 0.677 0.000 0.070 1
Tm7 Tm 0.823 0.500 0.930 1
Tm8 Tm 0.921 0.000 0.629 1
Sn1 Sn 0.148 0.500 0.661 1
Sn2 Sn 0.352 0.000 0.339 1
Sn3 Sn 0.648 0.000 0.661 1
Sn4 Sn 0.852 0.500 0.339 1
Au1 Au 0.000 0.000 0.000 1
Au2 Au 0.500 0.500 0.000 1
```

Output
The size of the total moment is 0.0 Bohr magnetons per cell. The calculation puts the formation energy at -0.614 eV/atom.

# 5
Crystalline Tm6Sn3Au at its relaxed geometry, computed with PBE.

```
data_Tm6Sn3Au
_chemical_formula_sum 'Tm12 Sn6 Au2'
_space_group_name_H-M_alt 'P 1'
_space_group_IT_number 1
_cell_length_a 9.078
_cell_length_b 9.078
_cell_length_c 7.099
_cell_angle_alpha 90.00
_cell_angle_beta 90.00
_cell_angle_gamma 107.77
loop_
_space_group_symop_operation_xyz
'x,y,z'
loop_
_atom_site_label
_atom_site_type_symbol
_atom_site_fract_x
_atom_site_fract_y
_atom_site_fract_z
_atom_site_occupancy
Tm1 Tm 0.036 0.964 0.500 1
Tm2 Tm 0.117 0.530 0.054 1
Tm3 Tm 0.220 0.325 0.694 1
Tm4 Tm 0.290 0.710 0.523 1
Tm5 Tm 0.325 0.220 0.194 1
Tm6 Tm 0.470 0.883 0.054 1
Tm7 Tm 0.530 0.117 0.554 1
Tm8 Tm 0.675 0.780 0.694 1
Tm9 Tm 0.710 0.290 0.023 1
Tm10 Tm 0.780 0.675 0.194 1
Tm11 Tm 0.883 0.470 0.554 1
Tm12 Tm 0.964 0.036 0.000 1
Sn1 Sn 0.022 0.272 0.323 1
Sn2 Sn 0.272 0.022 0.823 1
Sn3 Sn 0.465 0.535 0.978 1
Sn4 Sn 0.535 0.465 0.478 1
Sn5 Sn 0.728 0.978 0.323 1
Sn6 Sn 0.978 0.728 0.823 1
Au1 Au 0.161 0.839 0.202 1
Au2 Au 0.839 0.161 0.702 1
```

Output
The size of the total moment is 0.0 Bohr magnetons per cell. The calculation puts the formation energy at -0.457 eV/atom.

# 6
Crystalline Tm6SnAu5 at its relaxed geometry, computed with PBE.

```
data_Tm6SnAu5
_chemical_formula_sum 'Tm6 Sn1 Au5'
_space_group_name_H-M_alt 'P 1'
_space_group_IT_number 1
_cell_length_a 8.772
_cell_length_b 8.772
_cell_length_c 8.772
_cell_angle_alpha 146.54
_cell_angle_beta 131.47
_cell_angle_gamma 60.23
loop_
_space_group_symop_operation_xyz
'x,y,z'
loop_
_atom_site_label
_atom_site_type_symbol
_atom_site_fract_x
_atom_site_fract_y
_atom_site_fract_z
_atom_site_occupancy
Tm1 Tm 0.074 0.330 0.744 1
Tm2 Tm 0.239 0.000 0.239 1
Tm3 Tm 0.415 0.670 0.744 1
Tm4 Tm 0.585 0.330 0.256 1
Tm5 Tm 0.761 0.000 0.761 1
Tm6 Tm 0.926 0.670 0.256 1
Sn1 Sn 0.500 0.500 0.000 1
Au1 Au 0.000 0.500 0.500 1
Au2 Au 0.166 0.166 0.000 1
Au3 Au 0.336 0.836 0.500 1
Au4 Au 0.664 0.164 0.500 1
Au5 Au 0.834 0.834 0.000 1
```

Output
The size of the total moment is 0.0 Bohr magnetons per cell. The calculation puts the formation energy at -0.840 eV/atom.

# 7
Crystalline Tm7Sn2Au2 at its relaxed geometry, computed with PBE.

```
data_Tm7Sn2Au2
_chemical_formula_sum 'Tm7 Sn2 Au2'
_space_group_name_H-M_alt 'P 1'
_space_group_IT_number 1
_cell_length_a 6.892
_cell_length_b 6.892
_cell_length_c 6.972
_cell_angle_alpha 90.00
_cell_angle_beta 90.00
_cell_angle_gamma 105.24
loop_
_space_group_symop_operation_xyz
'x,y,z'
loop_
_atom_site_label
_atom_site_type_symbol
_atom_site_fract_x
_atom_site_fract_y
_atom_site_fract_z
_atom_site_occupancy
Tm1 Tm 0.000 0.000 0.000 1
Tm2 Tm 0.000 0.500 0.260 1
Tm3 Tm 0.000 0.500 0.740 1
Tm4 Tm 0.500 0.000 0.260 1
Tm5 Tm 0.500 0.000 0.740 1
Tm6 Tm 0.500 0.500 0.246 1
Tm7 Tm 0.500 0.500 0.754 1
Sn1 Sn 0.181 0.181 0.500 1
Sn2 Sn 0.819 0.819 0.500 1
Au1 Au 0.286 0.714 0.000 1
Au2 Au 0.714 0.286 0.000 1
```

Output
The size of the total moment is 0.0 Bohr magnetons per cell. The calculation puts the formation energy at -0.389 eV/atom.

# 8
Crystalline Tm2SnAu6 at its relaxed geometry, computed with PBE.

```
data_Tm2SnAu6
_chemical_formula_sum 'Tm2 Sn1 Au6'
_space_group_name_H-M_alt 'P 1'
_space_group_IT_number 1
_cell_length_a 8.041
_cell_length_b 8.041
_cell_length_c 3.627
_cell_angle_alpha 90.00
_cell_angle_beta 90.00
_cell_angle_gamma 122.70
loop_
_space_group_symop_operation_xyz
'x,y,z'
loop_
_atom_site_label
_atom_site_type_symbol
_atom_site_fract_x
_atom_site_fract_y
_atom_site_fract_z
_atom_site_occupancy
Tm1 Tm 0.202 0.798 0.000 1
Tm2 Tm 0.798 0.202 0.000 1
Sn1 Sn 0.500 0.500 0.500 1
Au1 Au 0.141 0.455 0.500 1
Au2 Au 0.182 0.182 0.000 1
Au3 Au 0.455 0.141 0.500 1
Au4 Au 0.545 0.859 0.500 1
Au5 Au 0.818 0.818 0.000 1
Au6 Au 0.859 0.545 0.500 1
```

Output
The size of the total moment is 0.0 Bohr magnetons per cell. The calculation puts the formation energy at -0.500 eV/atom.

# 9
Crystalline Tm12SnAu6 at its relaxed geometry, computed with PBE.

```
data_Tm12SnAu6
_chemical_formula_sum 'Tm12 Sn1 Au6'
_space_group_name_H-M_alt 'P 1'
_space_group_IT_number 1
_cell_length_a 8.460
_cell_length_b 8.460
_cell_length_c 8.460
_cell_angle_alpha 101.03
_cell_angle_beta 101.03
_cell_angle_gamma 101.03
loop_
_space_group_symop_operation_xyz
'x,y,z'
loop_
_atom_site_label
_atom_site_type_symbol
_atom_site_fract_x
_atom_site_fract_y
_atom_site_fract_z
_atom_site_occupancy
Tm1 Tm 0.066 0.331 0.920 1
Tm2 Tm 0.080 0.934 0.669 1
Tm3 Tm 0.178 0.574 0.430 1
Tm4 Tm 0.331 0.920 0.066 1
Tm5 Tm 0.426 0.570 0.822 1
Tm6 Tm 0.430 0.178 0.574 1
Tm7 Tm 0.570 0.822 0.426 1
Tm8 Tm 0.574 0.430 0.178 1
Tm9 Tm 0.669 0.080 0.934 1
Tm10 Tm 0.822 0.426 0.570 1
Tm11 Tm 0.920 0.066 0.331 1
Tm12 Tm 0.934 0.669 0.080 1
Sn1 Sn 0.000 0.000 0.000 1
Au1 Au 0.139 0.305 0.607 1
Au2 Au 0.305 0.607 0.139 1
Au3 Au 0.393 0.861 0.695 1
Au4 Au 0.607 0.139 0.305 1
Au5 Au 0.695 0.393 0.861 1
Au6 Au 0.861 0.695 0.393 1
```

Output
The size of the total moment is 0.0 Bohr magnetons per cell. The calculation puts the formation energy at -0.443 eV/atom.

# 10
Crystalline Tm2SnAu2 at its relaxed geometry, computed with PBE.

```
data_Tm2SnAu2
_chemical_formula_sum 'Tm4 Sn2 Au4'
_space_group_name_H-M_alt 'P 1'
_space_group_IT_number 1
_cell_length_a 8.258
_cell_length_b 8.258
_cell_length_c 3.554
_cell_angle_alpha 90.00
_cell_angle_beta 90.00
_cell_angle_gamma 90.00
loop_
_space_group_symop_operation_xyz
'x,y,z'
loop_
_atom_site_label
_atom_site_type_symbol
_atom_site_fract_x
_atom_site_fract_y
_atom_site_fract_z
_atom_site_occupancy
Tm1 Tm 0.161 0.339 0.000 1
Tm2 Tm 0.339 0.839 0.000 1
Tm3 Tm 0.661 0.161 0.000 1
Tm4 Tm 0.839 0.661 0.000 1
Sn1 Sn 0.000 0.000 0.000 1
Sn2 Sn 0.500 0.500 0.000 1
Au1 Au 0.131 0.631 0.500 1
Au2 Au 0.369 0.131 0.500 1
Au3 Au 0.631 0.869 0.500 1
Au4 Au 0.869 0.369 0.500 1
```

Output
The size of the total moment is 0.0 Bohr magnetons per cell. The calculation puts the formation energy at -0.617 eV/atom.

# 11
Crystalline Tm2SnAu2 at its relaxed geometry, computed with PBE.

```
data_Tm2SnAu2
_chemical_formula_sum 'Tm4 Sn2 Au4'
_space_group_name_H-M_alt 'P 1'
_space_group_IT_number 1
_cell_length_a 7.897
_cell_length_b 7.897
_cell_length_c 3.689
_cell_angle_alpha 90.00
_cell_angle_beta 90.00
_cell_angle_gamma 90.00
loop_
_space_group_symop_operation_xyz
'x,y,z'
loop_
_atom_site_label
_atom_site_type_symbol
_atom_site_fract_x
_atom_site_fract_y
_atom_site_fract_z
_atom_site_occupancy
Tm1 Tm 0.168 0.332 0.000 1
Tm2 Tm 0.332 0.832 0.000 1
Tm3 Tm 0.668 0.168 0.000 1
Tm4 Tm 0.832 0.668 0.000 1
Sn1 Sn 0.000 0.000 0.500 1
Sn2 Sn 0.500 0.500 0.500 1
Au1 Au 0.129 0.629 0.500 1
Au2 Au 0.371 0.129 0.500 1
Au3 Au 0.629 0.871 0.500 1
Au4 Au 0.871 0.371 0.500 1
```

Output
The size of the total moment is 0.0 Bohr magnetons per cell. The calculation puts the formation energy at -0.846 eV/atom.

# 12
Crystalline Tm2SnAu2 at its relaxed geometry, computed with PBE.

```
data_Tm2SnAu2
_chemical_formula_sum 'Tm8 Sn4 Au8'
_space_group_name_H-M_alt 'P 1'
_space_group_IT_number 1
_cell_length_a 7.892
_cell_length_b 7.892
_cell_length_c 7.346
_cell_angle_alpha 90.00
_cell_angle_beta 90.00
_cell_angle_gamma 90.00
loop_
_space_group_symop_operation_xyz
'x,y,z'
loop_
_atom_site_label
_atom_site_type_symbol
_atom_site_fract_x
_atom_site_fract_y
_atom_site_fract_z
_atom_site_occupancy
Tm1 Tm 0.155 0.155 0.000 1
Tm2 Tm 0.183 0.183 0.500 1
Tm3 Tm 0.317 0.683 0.000 1
Tm4 Tm 0.345 0.655 0.500 1
Tm5 Tm 0.655 0.345 0.500 1
Tm6 Tm 0.683 0.317 0.000 1
Tm7 Tm 0.817 0.817 0.500 1
Tm8 Tm 0.845 0.845 0.000 1
Sn1 Sn 0.000 0.500 0.250 1
Sn2 Sn 0.000 0.500 0.750 1
Sn3 Sn 0.500 0.000 0.250 1
Sn4 Sn 0.500 0.000 0.750 1
Au1 Au 0.128 0.872 0.278 1
Au2 Au 0.128 0.872 0.722 1
Au3 Au 0.372 0.372 0.222 1
Au4 Au 0.372 0.372 0.778 1
Au5 Au 0.628 0.628 0.222 1
Au6 Au 0.628 0.628 0.778 1
Au7 Au 0.872 0.128 0.278 1
Au8 Au 0.872 0.128 0.722 1
```

Output
The size of the total moment is 0.0 Bohr magnetons per cell. The calculation puts the formation energy at -0.850 eV/atom.